Record 1
Density functional theory data (PBE-GGA) for a geometry-optimized YMnB14 structure.

## Properties
The formation energy is -0.169 eV per atom.

```
YMnB14
1.0
-2.929 5.353 4.121
2.929 -5.353 4.121
2.929 5.353 -4.121
Y Mn B
2 2 28
Direct
0.378 0.128 0.250
0.622 0.872 0.750
0.000 0.000 0.500
0.000 0.500 0.000
0.000 0.130 0.870
0.000 0.870 0.130
0.031 0.205 0.330
0.031 0.701 0.826
0.086 0.670 0.416
0.198 0.532 0.667
0.223 0.502 0.402
0.223 0.821 0.721
0.240 0.870 0.370
0.245 0.330 0.916
0.365 0.532 0.833
0.375 0.205 0.674
0.375 0.701 0.170
0.400 0.179 0.902
0.400 0.498 0.221
0.600 0.502 0.779
0.600 0.821 0.098
0.625 0.299 0.830
0.625 0.795 0.326
0.635 0.468 0.167
0.755 0.670 0.084
0.760 0.130 0.630
0.777 0.179 0.279
0.777 0.498 0.598
0.802 0.468 0.333
0.914 0.330 0.584
0.969 0.299 0.174
0.969 0.795 0.670
```

Record 2
Density functional theory data (PBE-GGA) for a geometry-optimized Ba3Cu structure.

## Properties
The formation energy is 0.198 eV per atom.

```
Ba3Cu
1.0
10.493 0.000 0.000
-5.247 9.087 0.000
0.000 0.000 4.453
Ba Cu
6 2
Direct
0.204 0.407 0.250
0.204 0.796 0.250
0.407 0.204 0.750
0.593 0.796 0.250
0.796 0.204 0.750
0.796 0.593 0.750
0.333 0.667 0.750
0.667 0.333 0.250
```

Record 3
Density functional theory data (PBE-GGA) for a geometry-optimized La6BiBr8 structure.

## Properties
The calculation puts the formation energy without anion corrections at -1.56 eV/atom.

```
La6BiBr8
1.0
3.763 2.173 10.803
-3.763 2.173 10.803
0.000 -4.345 10.803
La Bi Br
6 1 8
Direct
0.055 0.405 0.705
0.295 0.945 0.595
0.405 0.705 0.055
0.595 0.295 0.945
0.705 0.055 0.405
0.945 0.595 0.295
0.000 0.000 0.000
0.111 0.790 0.431
0.210 0.569 0.889
0.333 0.333 0.333
0.431 0.111 0.790
0.569 0.889 0.210
0.667 0.667 0.667
0.790 0.431 0.111
0.889 0.210 0.569
```

Record 4
Density functional theory data (PBE-GGA) for a geometry-optimized Sc4GePt3 structure.

## Properties
The formation energy is -1.095 eV per atom.

```
Sc4GePt3
1.0
2.345 1.354 7.672
-2.345 1.354 7.672
0.000 -2.708 7.672
Sc Ge Pt
4 1 3
Direct
0.123 0.123 0.123
0.373 0.373 0.373
0.627 0.627 0.627
0.877 0.877 0.877
0.500 0.500 0.500
0.000 0.000 0.000
0.245 0.245 0.245
0.755 0.755 0.755
```

Record 5
Density functional theory data (PBE-GGA) for a geometry-optimized MgMnCo structure.

## Properties
The formation energy is 0.231 eV per atom. The distance to the lowest polymorph of the same formula comes out at 163.8 meV/atom.

```
MgMnCo
1.0
2.827 0.000 0.000
0.007 4.178 0.000
0.032 1.107 6.945
Mg Mn Co
2 2 2
Direct
0.247 0.280 0.373
0.753 0.720 0.627
0.250 0.702 0.979
0.750 0.298 0.021
0.254 0.184 0.779
0.746 0.816 0.221
```

Record 6
Density functional theory data (PBE-GGA) for a geometry-optimized NaIn3 structure.

## Properties
The formation energy is -0.083 eV per atom.

```
NaIn3
1.0
6.778 0.000 0.000
-3.389 5.870 0.000
0.000 0.000 5.255
Na In
2 6
Direct
0.333 0.667 0.250
0.667 0.333 0.750
0.167 0.333 0.750
0.167 0.833 0.750
0.333 0.167 0.250
0.667 0.833 0.750
0.833 0.167 0.250
0.833 0.667 0.250
```

Record 7
Density functional theory data (PBE-GGA) for a geometry-optimized TiReN3 structure.

## Properties
The calculation puts the formation energy without anion corrections at -0.20 eV/atom.

```
TiReN3
1.0
3.156 0.000 0.000
-1.578 2.733 0.000
0.000 0.000 13.272
Ti Re N
2 2 6
Direct
0.333 0.667 0.250
0.667 0.333 0.750
0.000 0.000 0.000
0.000 0.000 0.500
0.000 0.000 0.250
0.000 0.000 0.750
0.333 0.667 0.082
0.333 0.667 0.418
0.667 0.333 0.582
0.667 0.333 0.918
```

Record 8
Density functional theory data (PBE-GGA) for a geometry-optimized LiThAl3Ag structure.

## Properties
The formation energy is -0.037 eV per atom.

```
LiThAl3Ag
1.0
3.057 -6.419 0.000
3.057 6.419 0.000
0.000 0.000 6.059
Li Th Al Ag
2 2 6 2
Direct
0.081 0.919 0.750
0.919 0.081 0.250
0.300 0.700 0.750
0.700 0.300 0.250
0.130 0.870 0.250
0.291 0.291 0.000
0.291 0.291 0.500
0.709 0.709 0.000
0.709 0.709 0.500
0.870 0.130 0.750
0.344 0.656 0.250
0.656 0.344 0.750
```

Record 9
Density functional theory data (PBE-GGA) for a geometry-optimized KCo2Si structure.

## Properties
The calculation puts the formation energy without anion corrections at 1.00 eV/atom.

```
KCo2Si
1.0
3.058 -4.205 0.000
3.058 4.205 0.000
-0.923 0.000 2.424
K Co Si
1 2 1
Direct
0.000 0.000 0.000
0.000 0.500 0.500
0.500 0.000 0.500
0.500 0.500 0.000
```

Record 10
Density functional theory data (PBE-GGA) for a geometry-optimized Dy5Sc4Tl structure.

## Properties
The formation energy is -0.024 eV per atom.

```
Dy5Sc4Tl
1.0
3.498 0.000 0.000
0.000 3.498 0.000
0.000 0.000 22.788
Dy Sc Tl
5 4 1
Direct
0.000 0.000 0.000
0.000 0.000 0.201
0.000 0.000 0.403
0.000 0.000 0.597
0.000 0.000 0.799
0.500 0.500 0.101
0.500 0.500 0.302
0.500 0.500 0.698
0.500 0.500 0.899
0.500 0.500 0.500
```

Record 11
Density functional theory data (PBE-GGA) for a geometry-optimized LiIn2GeO6 structure.

## Properties
The calculation puts the formation energy without anion corrections at -1.48 eV/atom.

```
LiIn2GeO6
1.0
2.660 1.536 4.809
-2.660 1.536 4.809
0.000 -3.071 4.809
Li In Ge O
1 2 1 6
Direct
0.000 0.000 0.000
0.268 0.268 0.268
0.778 0.778 0.778
0.475 0.475 0.475
0.111 0.674 0.374
0.221 0.571 0.832
0.374 0.111 0.674
0.571 0.832 0.221
0.674 0.374 0.111
0.832 0.221 0.571
```

Record 12
Density functional theory data (PBE-GGA) for a geometry-optimized Nd2DyHoTl2 structure.

## Properties
The formation energy is -0.268 eV per atom.

```
Nd2DyHoTl2
1.0
5.158 0.000 0.000
0.000 10.208 0.000
0.000 0.000 6.868
Nd Dy Ho Tl
4 2 2 4
Direct
0.000 0.042 0.000
0.000 0.958 0.500
0.500 0.187 0.270
0.500 0.813 0.770
0.500 0.459 0.905
0.500 0.541 0.405
0.000 0.317 0.624
0.000 0.683 0.124
0.000 0.375 0.160
0.000 0.625 0.660
0.500 0.146 0.742
0.500 0.854 0.242
```